Mg6BiCO8 PBE-GGA optimized geometry; formation energy without anion corrections = -1.67 eV per atom; density = 4.7 g/cm3; total moment = 0.58 μB per formula unit; uncorrected energy = -89.09 eV per cell
1.0
4.4746 0.0000 0.0000
0.0000 4.4746 0.0000
0.0000 0.0000 8.7570
Mg Bi C O
6 1 1 8
Direct
0.0000 0.0000 0.0000
0.0000 0.5000 0.2408
0.0000 0.5000 0.7592
0.5000 0.0000 0.2408
0.5000 0.0000 0.7592
0.5000 0.5000 0.0000
0.0000 0.0000 0.5000
0.5000 0.5000 0.5000
0.0000 0.0000 0.2306
0.0000 0.0000 0.7694
0.0000 0.5000 0.0000
0.0000 0.5000 0.5000
0.5000 0.0000 0.0000
0.5000 0.0000 0.5000
0.5000 0.5000 0.2375
0.5000 0.5000 0.7625